--- w ---
Entry from Alexandria: an optimized crystal structure of K2LaZr (PBE).

Calculated values
magnetic moment	1.200	μB per formula unit

Cell: 4.7551 4.7551 14.0816 Å, 90.00 90.00 90.00°
With the nearest neighbours (Å) after each atom.
Space group I4/mmm (No. 139)
Symmetry-distinct sites (fractional):
K 0.0000 0.5000 0.2500  4 K 3.36
La 0.0000 0.0000 0.0000  4 Zr 3.36
Zr 0.0000 0.0000 0.5000  4 La 3.36

***

--- x ---
Entry from Alexandria: an optimized crystal structure of K2LaZr (PBE).

Calculated values
magnetic moment	0.500	μB per formula unit

Cell: 3.5056 5.8927 14.3803 Å, 90.00 90.00 90.00°
With the nearest neighbours (Å) after each atom.
Space group Cmmm (No. 65)
Symmetry-distinct sites (fractional):
K 0.0000 0.0000 0.2367  6 K 3.43-3.51, 2 Zr 3.83
La 0.0000 0.5000 0.5000  6 La 3.43-3.51
Zr 0.0000 0.5000 0.0000  6 Zr 3.43-3.51, 4 K 3.83

***

Last place for stability: w

***

--- w ---
Entry from Alexandria: an optimized crystal structure of K2LaZr (PBE).

Calculated values
magnetic moment	1.325	μB per formula unit

Cell: 3.4960 3.4960 43.0278 Å, 90.00 90.00 120.00°
With the nearest neighbours (Å) after each atom.
Space group R-3m (No. 166, hexagonal axes)
Symmetry-distinct sites (fractional):
K 0.0000 0.0000 0.2450  6 K 3.50
La 0.0000 0.0000 0.0000  6 La 3.50
Zr 0.0000 0.0000 0.5000  6 Zr 3.50

***

--- x ---
Entry from Alexandria: an optimized crystal structure of K2LaZr (PBE).

Calculated values
magnetic moment	0.000	μB per formula unit

Cell: 3.5911 3.5911 12.9962 Å, 90.00 90.00 90.00°
With the nearest neighbours (Å) after each atom.
Space group P4mm (No. 99)
Symmetry-distinct sites (fractional):
K 0.0000 0.0000 0.0000  4 K 3.59, 4 Zr 4.00
K 0.5000 0.5000 0.3176  4 K 3.59
La 0.0000 0.0000 0.5932  4 Zr 3.36, 4 La 3.59
Zr 0.5000 0.5000 0.7620  4 La 3.36, 4 Zr 3.59

***

--- y ---
Entry from Alexandria: an optimized crystal structure of K2LaZr (PBE).

Calculated values
magnetic moment	0.001	μB per formula unit

Cell: 5.0946 5.0946 6.2912 Å, 90.00 90.00 90.00°
With the nearest neighbours (Å) after each atom.
Space group P4/mmm (No. 123)
Symmetry-distinct sites (fractional):
K 0.0000 0.0000 0.2408  2 K 3.03-3.26
La 0.5000 0.5000 0.5000  2 Zr 3.15
Zr 0.5000 0.5000 0.0000  2 La 3.15

***

Last place for stability: y